# 1
{
  "formula": "Ho3Zn8Ag",
  "functional": "PBE",
  "state": "relaxed",
  "sg": "No. 160",
  "dos_at_fermi_per_ev_cell": 5.1,
  "energy_ev_per_cell": -30.261,
  "magmom_total_mub_per_fu": 0.0,
  "formation_enthalpy_0k_ev_per_fu": -3.5,
  "crystal_system": "trigonal",
  "lattice": [[2.6831, 1.5491, 8.7899], [-2.6831, 1.5491, 8.7899], [0.0000, -3.0982, 8.7899]],
  "species": ["Ho", "Ho", "Ho", "Zn", "Zn", "Zn", "Zn", "Zn", "Zn", "Zn", "Zn", "Ag"],
  "frac_coords": [[0.0000, 0.0000, 0.0000], [0.1258, 0.1258, 0.1258], [0.6166, 0.6166, 0.6166], [0.0593, 0.5611, 0.5611], [0.0608, 0.0608, 0.5589], [0.0608, 0.5589, 0.0608], [0.3100, 0.3100, 0.3100], [0.5589, 0.0608, 0.0608], [0.5611, 0.0593, 0.5611], [0.5611, 0.5611, 0.0593], [0.8106, 0.8106, 0.8106], [0.4955, 0.4955, 0.4955]]
}


# 2
{
  "formula": "HoZn2Ag3",
  "functional": "PBE",
  "state": "relaxed",
  "sg": "No. 194",
  "dos_at_fermi_per_ev_cell": 2.4,
  "energy_ev_per_cell": -33.690,
  "magmom_total_mub_per_fu": 0.0,
  "formation_enthalpy_0k_ev_per_fu": -1.2,
  "crystal_system": "hexagonal",
  "lattice": [[4.6210, 0.0000, 0.0000], [-2.3105, 4.0019, 0.0000], [0.0000, 0.0000, 12.2398]],
  "species": ["Ho", "Ho", "Zn", "Zn", "Zn", "Zn", "Ag", "Ag", "Ag", "Ag", "Ag", "Ag"],
  "frac_coords": [[0.0000, 0.0000, 0.2500], [0.0000, 0.0000, 0.7500], [0.3333, 0.6667, 0.1201], [0.3333, 0.6667, 0.3799], [0.6667, 0.3333, 0.6201], [0.6667, 0.3333, 0.8799], [0.0000, 0.0000, 0.0000], [0.0000, 0.0000, 0.5000], [0.3333, 0.6667, 0.6092], [0.3333, 0.6667, 0.8908], [0.6667, 0.3333, 0.1092], [0.6667, 0.3333, 0.3908]]
}


# 3
{
  "formula": "HoZn6Ag12",
  "functional": "PBE",
  "state": "relaxed",
  "sg": "No. 166",
  "dos_at_fermi_per_ev_cell": 8.2,
  "energy_ev_per_cell": -45.257,
  "magmom_total_mub_per_fu": 0.0,
  "formation_enthalpy_0k_ev_per_fu": 1.2,
  "crystal_system": "trigonal",
  "lattice": [[5.9022, 3.4076, 2.9781], [-5.9022, 3.4076, 2.9781], [0.0000, -6.8152, 2.9781]],
  "species": ["Ho", "Zn", "Zn", "Zn", "Zn", "Zn", "Zn", "Ag", "Ag", "Ag", "Ag", "Ag", "Ag", "Ag", "Ag", "Ag", "Ag", "Ag", "Ag"],
  "frac_coords": [[0.0000, 0.0000, 0.0000], [0.2853, 0.2853, 0.7007], [0.2853, 0.7007, 0.2853], [0.2993, 0.7147, 0.7147], [0.7007, 0.2853, 0.2853], [0.7147, 0.2993, 0.7147], [0.7147, 0.7147, 0.2993], [0.1159, 0.5000, 0.8841], [0.1159, 0.8841, 0.5000], [0.1290, 0.3768, 0.3768], [0.3768, 0.1290, 0.3768], [0.3768, 0.3768, 0.1290], [0.5000, 0.1159, 0.8841], [0.5000, 0.8841, 0.1159], [0.6232, 0.6232, 0.8710], [0.6232, 0.8710, 0.6232], [0.8710, 0.6232, 0.6232], [0.8841, 0.1159, 0.5000], [0.8841, 0.5000, 0.1159]]
}


# 4
{
  "formula": "Ho2Zn15Ag2",
  "functional": "PBE",
  "state": "relaxed",
  "sg": "No. 166",
  "dos_at_fermi_per_ev_cell": 5.5,
  "energy_ev_per_cell": -38.188,
  "magmom_total_mub_per_fu": 0.0,
  "formation_enthalpy_0k_ev_per_fu": -4.2,
  "crystal_system": "trigonal",
  "lattice": [[4.5196, 2.6094, 4.3951], [-4.5196, 2.6094, 4.3951], [0.0000, -5.2188, 4.3951]],
  "species": ["Ho", "Ho", "Zn", "Zn", "Zn", "Zn", "Zn", "Zn", "Zn", "Zn", "Zn", "Zn", "Zn", "Zn", "Zn", "Zn", "Zn", "Ag", "Ag"],
  "frac_coords": [[0.1587, 0.1587, 0.1587], [0.8413, 0.8413, 0.8413], [0.0000, 0.5000, 0.5000], [0.1463, 0.1463, 0.6632], [0.1463, 0.6632, 0.1463], [0.2017, 0.5000, 0.7983], [0.2017, 0.7983, 0.5000], [0.3368, 0.8537, 0.8537], [0.5000, 0.0000, 0.5000], [0.5000, 0.2017, 0.7983], [0.5000, 0.5000, 0.0000], [0.5000, 0.7983, 0.2017], [0.6632, 0.1463, 0.1463], [0.7983, 0.2017, 0.5000], [0.7983, 0.5000, 0.2017], [0.8537, 0.3368, 0.8537], [0.8537, 0.8537, 0.3368], [0.3927, 0.3927, 0.3927], [0.6073, 0.6073, 0.6073]]
}


# 5
{
  "formula": "HoZn4Ag2",
  "functional": "PBE",
  "state": "relaxed",
  "sg": "No. 12",
  "dos_at_fermi_per_ev_cell": 2.6,
  "energy_ev_per_cell": -16.763,
  "magmom_total_mub_per_fu": 0.0,
  "formation_enthalpy_0k_ev_per_fu": -1.4,
  "crystal_system": "monoclinic",
  "lattice": [[4.3006, -3.4093, 0.0000], [4.3006, 3.4093, 0.0000], [-3.2986, 0.0000, 4.2001]],
  "species": ["Ho", "Zn", "Zn", "Zn", "Zn", "Ag", "Ag"],
  "frac_coords": [[0.0000, 0.0000, 0.0000], [0.0009, 0.3793, 0.6876], [0.3793, 0.0009, 0.6876], [0.6207, 0.9991, 0.3124], [0.9991, 0.6207, 0.3124], [0.4965, 0.4965, 0.2469], [0.5035, 0.5035, 0.7531]]
}


# 6
{
  "formula": "Ho5Zn4Ag",
  "functional": "PBE",
  "state": "relaxed",
  "sg": "No. 123",
  "dos_at_fermi_per_ev_cell": 10.0,
  "energy_ev_per_cell": -34.268,
  "magmom_total_mub_per_fu": 0.0,
  "formation_enthalpy_0k_ev_per_fu": -3.4,
  "crystal_system": "tetragonal",
  "lattice": [[3.5676, 0.0000, 0.0000], [0.0000, 3.5676, 0.0000], [0.0000, 0.0000, 17.7742]],
  "species": ["Ho", "Ho", "Ho", "Ho", "Ho", "Zn", "Zn", "Zn", "Zn", "Ag"],
  "frac_coords": [[0.0000, 0.0000, 0.0000], [0.0000, 0.0000, 0.1981], [0.0000, 0.0000, 0.3954], [0.0000, 0.0000, 0.6046], [0.0000, 0.0000, 0.8019], [0.5000, 0.5000, 0.0995], [0.5000, 0.5000, 0.2959], [0.5000, 0.5000, 0.7041], [0.5000, 0.5000, 0.9005], [0.5000, 0.5000, 0.5000]]
}